Entry 1:
# Rb3BaRu | Alexandria | GGA-PBE | optimized geometry
data_Rb3BaRu
_chemical_formula_sum 'Rb3 Ba1 Ru1'
_cell_length_a 6.510
_cell_length_b 6.510
_cell_length_c 6.510
_cell_angle_alpha 90.00
_cell_angle_beta 90.00
_cell_angle_gamma 90.00
_symmetry_space_group_name_H-M 'P m -3 m'
_symmetry_Int_Tables_number 221
_symmetry_space_group_name_Hall '-P 4 2 3'
loop_
_atom_site_label
_atom_site_type_symbol
_atom_site_fract_x
_atom_site_fract_y
_atom_site_fract_z
Rb1 Rb 0.000 0.000 0.500
Ba1 Ba 0.500 0.500 0.500
Ru1 Ru 0.000 0.000 0.000
# - VASP energy (eV per atom) = -1.7646
# - ρ (kg/m3) = 2977
# - ΔH_f (0 K) (meV per atom) = 1055.6

Entry 2:
# RbBaRu2 | Alexandria | GGA-PBE | optimized geometry
data_RbBaRu2
_chemical_formula_sum 'Rb4 Ba4 Ru8'
_cell_length_a 8.795
_cell_length_b 8.795
_cell_length_c 6.013
_cell_angle_alpha 90.00
_cell_angle_beta 90.00
_cell_angle_gamma 90.00
_symmetry_space_group_name_H-M 'I -4 2 d'
_symmetry_Int_Tables_number 122
_symmetry_space_group_name_Hall 'I -4 2bw'
loop_
_atom_site_label
_atom_site_type_symbol
_atom_site_fract_x
_atom_site_fract_y
_atom_site_fract_z
Rb1 Rb 0.000 0.000 0.000
Ba1 Ba 0.000 0.000 0.500
Ru1 Ru 0.241 0.250 0.625
# - VASP energy (eV per atom) = -3.7673
# - ρ (kg/m3) = 6069
# - ΔH_f (0 K) (meV per atom) = 1593.2

Entry 3:
# RbBa3Ru | Alexandria | GGA-PBE | optimized geometry
data_RbBa3Ru
_chemical_formula_sum 'Rb1 Ba3 Ru1'
_cell_length_a 6.173
_cell_length_b 6.173
_cell_length_c 6.173
_cell_angle_alpha 90.00
_cell_angle_beta 90.00
_cell_angle_gamma 90.00
_symmetry_space_group_name_H-M 'P m -3 m'
_symmetry_Int_Tables_number 221
_symmetry_space_group_name_Hall '-P 4 2 3'
loop_
_atom_site_label
_atom_site_type_symbol
_atom_site_fract_x
_atom_site_fract_y
_atom_site_fract_z
Rb1 Rb 0.000 0.000 0.000
Ba1 Ba 0.000 0.000 0.500
Ru1 Ru 0.500 0.500 0.500
# - VASP energy (eV per atom) = -1.5127
# - ρ (kg/m3) = 4226
# - ΔH_f (0 K) (meV per atom) = 1689.6

Entry 4:
# Rb2BaSbRu | Alexandria | GGA-PBE | optimized geometry
data_Rb2BaSbRu
_chemical_formula_sum 'Rb2 Ba1 Sb1 Ru1'
_cell_length_a 6.354
_cell_length_b 6.354
_cell_length_c 5.142
_cell_angle_alpha 90.00
_cell_angle_beta 90.00
_cell_angle_gamma 90.00
_symmetry_space_group_name_H-M 'P 4/m m m'
_symmetry_Int_Tables_number 123
_symmetry_space_group_name_Hall '-P 4 2'
loop_
_atom_site_label
_atom_site_type_symbol
_atom_site_fract_x
_atom_site_fract_y
_atom_site_fract_z
Rb1 Rb 0.000 0.500 0.000
Ba1 Ba 0.000 0.000 0.500
Sb1 Sb 0.500 0.500 0.500
Ru1 Ru 0.500 0.500 0.000
# - ΔE_f (raw) (kJ/mol of atoms) = 39.7
# - VASP energy (eV per atom) = -3.0401
# - ρ (kg/m3) = 4248

Entry 5:
# Rb2BaScRu | Alexandria | GGA-PBE | optimized geometry
data_Rb2BaScRu
_chemical_formula_sum 'Rb2 Ba1 Sc1 Ru1'
_cell_length_a 6.806
_cell_length_b 6.806
_cell_length_c 4.819
_cell_angle_alpha 90.00
_cell_angle_beta 90.00
_cell_angle_gamma 90.00
_symmetry_space_group_name_H-M 'P 4/m m m'
_symmetry_Int_Tables_number 123
_symmetry_space_group_name_Hall '-P 4 2'
loop_
_atom_site_label
_atom_site_type_symbol
_atom_site_fract_x
_atom_site_fract_y
_atom_site_fract_z
Rb1 Rb 0.000 0.500 0.000
Ba1 Ba 0.000 0.000 0.500
Sc1 Sc 0.500 0.500 0.500
Ru1 Ru 0.500 0.500 0.000
# - VASP energy (eV per atom) = -3.2258
# - ρ (kg/m3) = 3380
# - ΔH_f (0 K) (meV per atom) = 667.2

Entry 6:
# RbBaSiRu2 | Alexandria | GGA-PBE | optimized geometry
data_RbBaSiRu2
_chemical_formula_sum 'Rb1 Ba1 Si1 Ru2'
_cell_length_a 4.673
_cell_length_b 4.673
_cell_length_c 5.739
_cell_angle_alpha 90.00
_cell_angle_beta 90.00
_cell_angle_gamma 90.00
_symmetry_space_group_name_H-M 'P 4/m m m'
_symmetry_Int_Tables_number 123
_symmetry_space_group_name_Hall '-P 4 2'
loop_
_atom_site_label
_atom_site_type_symbol
_atom_site_fract_x
_atom_site_fract_y
_atom_site_fract_z
Rb1 Rb 0.000 0.000 0.000
Ba1 Ba 0.500 0.500 0.000
Si1 Si 0.000 0.000 0.500
Ru1 Ru 0.000 0.500 0.500
# - ΔE_f (raw) (kJ/mol of atoms) = 59.5
# - VASP energy (eV per atom) = -4.7567
# - ρ (kg/m3) = 6003

Entry 7:
# RbBaTeRu2 | Alexandria | GGA-PBE | optimized geometry
data_RbBaTeRu2
_chemical_formula_sum 'Rb1 Ba1 Te1 Ru2'
_cell_length_a 5.016
_cell_length_b 5.016
_cell_length_c 6.077
_cell_angle_alpha 90.00
_cell_angle_beta 90.00
_cell_angle_gamma 90.00
_symmetry_space_group_name_H-M 'P 4/m m m'
_symmetry_Int_Tables_number 123
_symmetry_space_group_name_Hall '-P 4 2'
loop_
_atom_site_label
_atom_site_type_symbol
_atom_site_fract_x
_atom_site_fract_y
_atom_site_fract_z
Rb1 Rb 0.000 0.000 0.000
Ba1 Ba 0.500 0.500 0.000
Te1 Te 0.000 0.000 0.500
Ru1 Ru 0.000 0.500 0.500
# - ΔE_f (raw) (kJ/mol of atoms) = 72.7
# - VASP energy (eV per atom) = -4.1628
# - ρ (kg/m3) = 6001

Entry 8:
# RbBaVRu2 | Alexandria | GGA-PBE | optimized geometry
data_RbBaVRu2
_chemical_formula_sum 'Rb1 Ba1 V1 Ru2'
_cell_length_a 5.053
_cell_length_b 5.053
_cell_length_c 4.899
_cell_angle_alpha 90.00
_cell_angle_beta 90.00
_cell_angle_gamma 90.00
_symmetry_space_group_name_H-M 'P 4/m m m'
_symmetry_Int_Tables_number 123
_symmetry_space_group_name_Hall '-P 4 2'
loop_
_atom_site_label
_atom_site_type_symbol
_atom_site_fract_x
_atom_site_fract_y
_atom_site_fract_z
Rb1 Rb 0.000 0.000 0.000
Ba1 Ba 0.500 0.500 0.500
V1 V 0.000 0.000 0.500
Ru1 Ru 0.000 0.500 0.000
# - VASP energy (eV per atom) = -3.6602
# - ρ (kg/m3) = 6318
# - ΔH_f (0 K) (meV per atom) = 2452.0

Entry 9:
# RbBa2ZnRu | Alexandria | GGA-PBE | optimized geometry
data_RbBa2ZnRu
_chemical_formula_sum 'Rb1 Ba2 Zn1 Ru1'
_cell_length_a 6.503
_cell_length_b 6.503
_cell_length_c 4.806
_cell_angle_alpha 90.00
_cell_angle_beta 90.00
_cell_angle_gamma 90.00
_symmetry_space_group_name_H-M 'P 4/m m m'
_symmetry_Int_Tables_number 123
_symmetry_space_group_name_Hall '-P 4 2'
loop_
_atom_site_label
_atom_site_type_symbol
_atom_site_fract_x
_atom_site_fract_y
_atom_site_fract_z
Rb1 Rb 0.000 0.000 0.000
Ba1 Ba 0.000 0.500 0.000
Zn1 Zn 0.500 0.500 0.500
Ru1 Ru 0.000 0.000 0.500
# - VASP energy (eV per atom) = -1.8568
# - ρ (kg/m3) = 4302
# - ΔH_f (0 K) (meV per atom) = 1215.8

Entry 10:
# RbBa2S2 | Alexandria | GGA-PBE | optimized geometry
data_RbBa2S2
_chemical_formula_sum 'Rb2 Ba4 S4'
_cell_length_a 8.796
_cell_length_b 8.796
_cell_length_c 4.282
_cell_angle_alpha 90.00
_cell_angle_beta 90.00
_cell_angle_gamma 90.00
_symmetry_space_group_name_H-M 'P 4/m b m'
_symmetry_Int_Tables_number 127
_symmetry_space_group_name_Hall '-P 4 2ab'
loop_
_atom_site_label
_atom_site_type_symbol
_atom_site_fract_x
_atom_site_fract_y
_atom_site_fract_z
Rb1 Rb 0.000 0.000 0.000
Ba1 Ba 0.150 0.350 0.500
S1 S 0.152 0.652 0.000
# - ΔE_f (raw) (kJ/mol of atoms) = -134.0
# - VASP energy (eV per atom) = -4.0028
# - ρ (kg/m3) = 4252

Entry 11:
# RbBa2S2 | Alexandria | GGA-PBE | optimized geometry
data_RbBa2S2
_chemical_formula_sum 'Rb2 Ba4 S4'
_cell_length_a 5.857
_cell_length_b 5.857
_cell_length_c 13.879
_cell_angle_alpha 90.00
_cell_angle_beta 90.00
_cell_angle_gamma 90.00
_symmetry_space_group_name_H-M 'I 4/m m m'
_symmetry_Int_Tables_number 139
_symmetry_space_group_name_Hall '-I 4 2'
loop_
_atom_site_label
_atom_site_type_symbol
_atom_site_fract_x
_atom_site_fract_y
_atom_site_fract_z
Rb1 Rb 0.000 0.000 0.000
Ba1 Ba 0.000 0.000 0.317
S1 S 0.000 0.500 0.250
# - ΔE_f (raw) (kJ/mol of atoms) = -132.5
# - VASP energy (eV per atom) = -3.9867
# - ρ (kg/m3) = 2960

Entry 12:
# RbBaS2 | Alexandria | GGA-PBE | optimized geometry
data_RbBaS2
_chemical_formula_sum 'Rb1 Ba1 S2'
_cell_length_a 4.103
_cell_length_b 4.103
_cell_length_c 7.485
_cell_angle_alpha 90.00
_cell_angle_beta 90.00
_cell_angle_gamma 90.00
_symmetry_space_group_name_H-M 'P 4/m m m'
_symmetry_Int_Tables_number 123
_symmetry_space_group_name_Hall '-P 4 2'
loop_
_atom_site_label
_atom_site_type_symbol
_atom_site_fract_x
_atom_site_fract_y
_atom_site_fract_z
Rb1 Rb 0.000 0.000 0.000
Ba1 Ba 0.000 0.000 0.500
S1 S 0.500 0.500 0.298
# - ΔE_f (raw) (kJ/mol of atoms) = -118.1
# - VASP energy (eV per atom) = -4.0108
# - ρ (kg/m3) = 3781

Entry 13:
# RbBaS14 | Alexandria | GGA-PBE | optimized geometry
data_RbBaS14
_chemical_formula_sum 'Rb4 Ba4 S56'
_cell_length_a 8.045
_cell_length_b 13.952
_cell_length_c 17.154
_cell_angle_alpha 90.00
_cell_angle_beta 90.00
_cell_angle_gamma 90.00
_symmetry_space_group_name_H-M 'I m m a'
_symmetry_Int_Tables_number 74
_symmetry_space_group_name_Hall '-I 2b 2'
loop_
_atom_site_label
_atom_site_type_symbol
_atom_site_fract_x
_atom_site_fract_y
_atom_site_fract_z
Rb1 Rb 0.000 0.250 0.057
Ba1 Ba 0.250 0.250 0.750
S1 S 0.000 0.117 0.865
S2 S 0.000 0.122 0.632
S3 S 0.000 0.180 0.387
S4 S 0.244 0.125 0.307
S5 S 0.250 0.137 0.584
# - ΔE_f (raw) (kJ/mol of atoms) = -11.5
# - VASP energy (eV per atom) = -3.9118
# - ρ (kg/m3) = 2317

Entry 14:
# Rb3BaS | Alexandria | GGA-PBE | optimized geometry
data_Rb3BaS
_chemical_formula_sum 'Rb3 Ba1 S1'
_cell_length_a 7.958
_cell_length_b 7.958
_cell_length_c 7.958
_cell_angle_alpha 90.00
_cell_angle_beta 90.00
_cell_angle_gamma 90.00
_symmetry_space_group_name_H-M 'P m -3 m'
_symmetry_Int_Tables_number 221
_symmetry_space_group_name_Hall '-P 4 2 3'
loop_
_atom_site_label
_atom_site_type_symbol
_atom_site_fract_x
_atom_site_fract_y
_atom_site_fract_z
Rb1 Rb 0.000 0.000 0.500
Ba1 Ba 0.000 0.000 0.000
S1 S 0.500 0.500 0.500
# - ΔE_f (raw) (kJ/mol of atoms) = 65.7
# - VASP energy (eV per atom) = -1.1099
# - ρ (kg/m3) = 1403